Entry 1:
This record from the Alexandria database describes La3P6Pd20 at its PBEsol-relaxed geometry. The functional is SCAN.

Values from the calculation:
DFT total energy ... -869.12 eV/cell
DOS at the Fermi energy ... 11.94 states/eV/f.u.
Energy of formation from the pure elements ... -756 meV/atom

Lattice parameters (Å, degrees): 8.6352 8.6352 8.6352 60.00 60.00 60.00
Fractional coordinates of all 29 atoms:
La1 0.0000 0.0000 0.0000
La2 0.2500 0.2500 0.2500
La3 0.7500 0.7500 0.7500
P1 0.2636 0.2636 0.7364
P2 0.2636 0.7364 0.2636
P3 0.2636 0.7364 0.7364
P4 0.7364 0.2636 0.2636
P5 0.7364 0.2636 0.7364
P6 0.7364 0.7364 0.2636
Pd1 0.0000 0.0000 0.3476
Pd2 0.0000 0.0000 0.6524
Pd3 0.0000 0.3476 0.0000
Pd4 0.0000 0.3476 0.6524
Pd5 0.0000 0.6524 0.0000
Pd6 0.0000 0.6524 0.3476
Pd7 0.1586 0.6138 0.6138
Pd8 0.3476 0.0000 0.0000
Pd9 0.3476 0.0000 0.6524
Pd10 0.3476 0.6524 0.0000
Pd11 0.3862 0.3862 0.3862
Pd12 0.3862 0.3862 0.8414
Pd13 0.3862 0.8414 0.3862
Pd14 0.6138 0.1586 0.6138
Pd15 0.6138 0.6138 0.1586
Pd16 0.6138 0.6138 0.6138
Pd17 0.6524 0.0000 0.0000
Pd18 0.6524 0.0000 0.3476
Pd19 0.6524 0.3476 0.0000
Pd20 0.8414 0.3862 0.3862

---

Entry 2:
This record from the Alexandria database describes LaNi2H2 at its PBEsol-relaxed geometry. The functional is SCAN.

Values from the calculation:
DFT total energy ... -83.28 eV/cell
DOS at the Fermi energy ... 1.30 states/eV/f.u.

Lattice parameters (Å, degrees): 5.2387 5.2387 5.2387 140.78 140.78 56.68
Fractional coordinates of all 5 atoms:
La1 0.0000 0.0000 0.0000
Ni1 0.2898 0.2898 0.0000
Ni2 0.7102 0.7102 0.0000
H1 0.2500 0.7500 0.5000
H2 0.7500 0.2500 0.5000

---

Entry 3:
This record from the Alexandria database describes Sr2LaPt at its PBEsol-relaxed geometry. The functional is SCAN.

Values from the calculation:
DFT total energy ... -160.19 eV/cell
DOS at the Fermi energy ... 3.07 states/eV/f.u.
Energy of formation from the pure elements ... -586 meV/atom
Offset from the most stable computed form ... 0.260 eV/f.u.

Lattice parameters (Å, degrees): 3.7406 3.7406 9.9851 90.00 90.00 90.00
Fractional coordinates of all 4 atoms:
Sr1 0.0000 0.0000 0.0000
Sr2 0.5000 0.5000 0.3406
La1 0.5000 0.5000 0.6783
Pt1 0.0000 0.0000 0.5388

---

Entry 4:
This record from the Alexandria database describes Ba2Au at its PBEsol-relaxed geometry. The functional is SCAN.

Values from the calculation:
DFT total energy ... -300.06 eV/cell
DOS at the Fermi energy ... 2.01 states/eV/f.u.
Energy of formation from the pure elements ... -591 meV/atom

Lattice parameters (Å, degrees): 15.6033 15.6033 15.6033 165.40 165.40 20.70
Fractional coordinates of all 6 atoms:
Ba1 0.3144 0.5644 0.7500
Ba2 0.4356 0.6856 0.7500
Ba3 0.5644 0.3144 0.2500
Ba4 0.6856 0.4356 0.2500
Au1 0.1250 0.8750 0.2500
Au2 0.8750 0.1250 0.7500

---

Entry 5:
This record from the Alexandria database describes BaNi3As at its PBEsol-relaxed geometry. The functional is SCAN.

Values from the calculation:
DFT total energy ... -98.17 eV/cell
DOS at the Fermi energy ... 4.50 states/eV/f.u.
Energy of formation from the pure elements ... 2018 meV/atom

Lattice parameters (Å, degrees): 4.7682 4.7682 4.7682 90.00 90.00 90.00
Fractional coordinates of all 5 atoms:
Ba1 0.0000 0.0000 0.0000
Ni1 0.0000 0.0000 0.5000
Ni2 0.0000 0.5000 0.0000
Ni3 0.5000 0.0000 0.0000
As1 0.5000 0.5000 0.5000

---

Entry 6:
This record from the Alexandria database describes LiTc2Au at its PBEsol-relaxed geometry. The functional is SCAN.

Values from the calculation:
DFT total energy ... -141.03 eV/cell
DOS at the Fermi energy ... 2.61 states/eV/f.u.
Energy of formation from the pure elements ... 159 meV/atom
Offset from the most stable computed form ... 0.165 eV/f.u.

Lattice parameters (Å, degrees): 2.5960 4.6132 4.9548 90.00 103.99 90.00
Fractional coordinates of all 4 atoms:
Li1 0.0000 0.0000 0.0000
Tc1 0.2832 0.5000 0.7644
Tc2 0.7168 0.5000 0.2356
Au1 0.5000 0.0000 0.5000

---

Entry 7:
This record from the Alexandria database describes NbAgTe2 at its PBEsol-relaxed geometry. The functional is SCAN.

Values from the calculation:
DFT total energy ... -139.68 eV/cell
DOS at the Fermi energy ... 1.30 states/eV/f.u.
Formation energy from raw total energies ... -170 meV/atom

Lattice parameters (Å, degrees): 9.2287 9.2287 9.2287 22.36 22.36 22.36
Fractional coordinates of all 4 atoms:
Nb1 0.0000 0.0000 0.0000
Ag1 0.5000 0.5000 0.5000
Te1 0.4016 0.4016 0.4016
Te2 0.5984 0.5984 0.5984

---

Entry 8:
This record from the Alexandria database describes ScTl2Pb at its PBEsol-relaxed geometry. The functional is SCAN.

Values from the calculation:
DFT total energy ... -235.48 eV/cell
DOS at the Fermi energy ... 2.20 states/eV/f.u.
Energy of formation from the pure elements ... -187 meV/atom

Lattice parameters (Å, degrees): 6.0557 6.0557 5.4612 113.84 113.84 33.62
Fractional coordinates of all 4 atoms:
Sc1 0.0000 0.0000 0.0000
Tl1 0.2679 0.2679 0.6050
Tl2 0.5123 0.5123 0.4769
Pb1 0.7432 0.7432 0.0842

---

Entry 9:
This record from the Alexandria database describes RbAgI2N at its PBEsol-relaxed geometry. The functional is SCAN.

Values from the calculation:
DFT total energy ... -134.72 eV/cell
DOS at the Fermi energy ... 1.07 states/eV/f.u.
Formation energy from raw total energies ... 32 meV/atom

Lattice parameters (Å, degrees): 5.9560 5.9560 4.1294 90.00 90.00 90.00
Fractional coordinates of all 5 atoms:
Rb1 0.0000 0.0000 0.0000
Ag1 0.5000 0.5000 0.5000
I1 0.0000 0.5000 0.5000
I2 0.5000 0.0000 0.5000
N1 0.5000 0.5000 0.0000

---

Entry 10:
This record from the Alexandria database describes In2MoPt at its PBEsol-relaxed geometry. The functional is SCAN.

Values from the calculation:
DFT total energy ... -171.31 eV/cell
DOS at the Fermi energy ... 3.63 states/eV/f.u.
Energy of formation from the pure elements ... 135 meV/atom
Offset from the most stable computed form ... 0.114 eV/f.u.

Lattice parameters (Å, degrees): 4.6133 4.6133 4.6133 60.00 60.00 60.00
Fractional coordinates of all 4 atoms:
In1 0.2500 0.2500 0.2500
In2 0.7500 0.7500 0.7500
Mo1 0.0000 0.0000 0.0000
Pt1 0.5000 0.5000 0.5000

---

Entry 11:
This record from the Alexandria database describes TlCrFe2 at its PBEsol-relaxed geometry. The functional is SCAN.

Values from the calculation:
DFT total energy ... -125.66 eV/cell
DOS at the Fermi energy ... 3.20 states/eV/f.u.
Energy of formation from the pure elements ... 337 meV/atom
Offset from the most stable computed form ... 0.000 eV/f.u.

Lattice parameters (Å, degrees): 4.2918 4.2918 4.2918 60.00 60.00 60.00
Fractional coordinates of all 4 atoms:
Tl1 0.0000 0.0000 0.0000
Cr1 0.7500 0.7500 0.7500
Fe1 0.2500 0.2500 0.2500
Fe2 0.5000 0.5000 0.5000

---

Entry 12:
This record from the Alexandria database describes ZnI2O6 at its PBEsol-relaxed geometry. The functional is SCAN.

Values from the calculation:
DFT total energy ... -260.85 eV/cell
DOS at the Fermi energy ... 0.00 states/eV/f.u.
Formation energy from raw total energies ... -671 meV/atom

Lattice parameters (Å, degrees): 5.4660 5.0047 9.3374 90.00 90.56 90.00
Fractional coordinates of all 18 atoms:
Zn1 0.2304 0.0000 0.2459
Zn2 0.7696 0.5000 0.7541
I1 0.2640 0.4449 0.5676
I2 0.2695 0.9279 0.9008
I3 0.7305 0.4279 0.0992
I4 0.7360 0.9449 0.4324
O1 0.0170 0.7647 0.3817
O2 0.0982 0.7193 0.7708
O3 0.1406 0.7879 0.0658
O4 0.3518 0.2251 0.4176
O5 0.4427 0.2355 0.0981
O6 0.4650 0.2768 0.6999
O7 0.5350 0.7768 0.3001
O8 0.5573 0.7355 0.9019
O9 0.6482 0.7251 0.5824
O10 0.8594 0.2879 0.9342
O11 0.9018 0.2193 0.2292
O12 0.9830 0.2647 0.6183